(1)
IrOs2Rh | Alexandria | PBE | relaxed; magnetic moment = 0.000 Bohr magnetons per cell; electronic total energy = -9.5666 eV per atom; D(E_F) = 0.94 states/eV per atom; energy of formation from the pure elements = 0.405 eV per formula unit; volume = 14.33 Å³/atom; relative energy among the computed polymorphs = 5.3 kJ/mol of atoms
1.0
2.713 0.000 0.000
0.000 2.713 0.000
0.000 0.000 7.786
Rh Ir Os
1 1 2
Direct
0.500 0.500 0.250
0.500 0.500 0.750
0.000 0.000 0.999
0.000 0.000 0.501

(2)
IrOs2Rh | Alexandria | PBE | relaxed; magnetic moment = 0.000 Bohr magnetons per cell; electronic total energy = -9.2737 eV per atom; D(E_F) = 1.23 states/eV per atom; energy of formation from the pure elements = 1.577 eV per formula unit; volume = 15.98 Å³/atom; relative energy among the computed polymorphs = 33.5 kJ/mol of atoms
1.0
2.702 0.000 -0.009
0.000 4.124 0.000
-1.305 0.000 11.476
Ir Os Rh
2 4 2
Direct
0.169 0.250 0.337
0.831 0.750 0.663
0.576 0.250 0.148
0.424 0.750 0.852
0.039 0.750 0.073
0.961 0.250 0.927
0.718 0.750 0.433
0.282 0.250 0.567

(3)
Ir2OsRh6 | Alexandria | PBE | relaxed; magnetic moment = 0.000 Bohr magnetons per cell; electronic total energy = -8.0491 eV per atom; D(E_F) = 1.38 states/eV per atom; energy of formation from the pure elements = 0.618 eV per formula unit; volume = 14.45 Å³/atom; relative energy among the computed polymorphs = 0.0 kJ/mol of atoms
1.0
2.730 0.000 0.000
-1.365 2.364 0.000
0.000 0.000 20.154
Ir Os Rh
2 1 6
Direct
0.667 0.333 0.329
0.667 0.333 0.671
0.333 0.667 0.000
0.667 0.333 0.893
0.333 0.667 0.438
0.333 0.667 0.781
0.333 0.667 0.219
0.333 0.667 0.562
0.667 0.333 0.107

(4)
Ir16Os6Rh7 | Alexandria | PBE | relaxed; magnetic moment = 0.000 Bohr magnetons per cell; electronic total energy = -8.4163 eV per atom; D(E_F) = 1.28 states/eV per atom; energy of formation from the pure elements = 16.542 eV per formula unit; volume = 15.74 Å³/atom
1.0
7.484 0.000 4.321
2.495 7.056 4.321
0.000 0.000 8.642
Ir Os Rh
16 6 7
Direct
0.878 0.878 0.366
0.878 0.878 0.878
0.878 0.366 0.878
0.366 0.878 0.878
0.122 0.122 0.122
0.122 0.122 0.634
0.122 0.634 0.122
0.634 0.122 0.122
0.656 0.656 0.031
0.656 0.656 0.656
0.656 0.031 0.656
0.031 0.656 0.656
0.344 0.344 0.344
0.344 0.344 0.969
0.344 0.969 0.344
0.969 0.344 0.344
0.349 0.651 0.349
0.651 0.349 0.651
0.651 0.349 0.349
0.349 0.651 0.651
0.651 0.651 0.349
0.349 0.349 0.651
0.000 0.000 0.000
0.500 0.000 0.500
0.000 0.500 0.000
0.000 0.500 0.500
0.500 0.000 0.000
0.000 0.000 0.500
0.500 0.500 0.000

(5)
Ir2OsRh | Alexandria | PBE | relaxed; magnetic moment = 0.001 Bohr magnetons per cell; electronic total energy = -9.0223 eV per atom; D(E_F) = 1.73 states/eV per atom; energy of formation from the pure elements = 0.214 eV per formula unit; volume = 14.44 Å³/atom; relative energy among the computed polymorphs = 6.0 kJ/mol of atoms
1.0
9.003 -0.016 -0.010
8.590 2.696 -0.010
8.590 1.308 2.357
Rh Ir Os
1 2 1
Direct
0.750 0.750 0.750
0.999 0.999 0.999
0.501 0.501 0.501
0.250 0.250 0.250

(6)
Ir3OsRh6 | Alexandria | PBE | relaxed; magnetic moment = 0.000 Bohr magnetons per cell; electronic total energy = -7.7865 eV per atom; D(E_F) = 1.46 states/eV per atom; energy of formation from the pure elements = 4.056 eV per formula unit; volume = 15.80 Å³/atom
1.0
-4.075 1.202 2.127
1.279 -4.568 -0.275
3.878 0.660 7.056
Ir Os Rh
3 1 6
Direct
0.000 0.000 0.500
0.667 0.333 0.500
0.333 0.667 0.500
0.000 0.000 0.000
0.648 0.648 0.775
0.000 0.352 0.775
0.352 0.000 0.775
0.000 0.648 0.225
0.352 0.352 0.225
0.648 0.000 0.225

Q: Number 6 is which compound?
A: Ir3OsRh6